# 1
Below is La3Re2O9 after structural relaxation, with properties calculated at the PBE level.

Geometry as POSCAR:
```
La3Re2O9
1.0
-0.941 -3.733 4.204
5.641 -3.877 1.147
4.486 4.841 9.072
Re O La
4 18 6
Cartesian
4.247 2.149 10.418
4.940 -4.919 4.004
5.739 -0.990 7.384
3.448 -1.779 7.038
4.069 0.162 7.222
5.118 -2.931 7.200
3.363 -5.569 4.965
5.824 2.799 9.457
7.519 -1.858 7.656
1.668 -0.911 6.766
0.333 -1.606 4.401
8.854 -1.163 10.022
6.615 0.806 7.457
2.571 -3.575 6.965
3.479 -1.699 5.087
5.708 -1.071 9.335
8.480 -2.999 11.908
0.707 0.229 2.514
6.180 -1.065 5.513
3.007 -1.704 8.909
5.450 0.932 11.343
3.737 -3.701 3.079
7.220 -3.177 9.679
1.967 0.408 4.743
5.251 -1.511 3.292
3.936 -1.258 11.130
7.473 0.869 9.726
1.714 -3.638 4.696
```

***

# 2
Below is La2Re3O10 after structural relaxation, with properties calculated at the PBE level.

Geometry as POSCAR:
```
La2Re3O10
1.0
-1.703 4.062 3.697
-3.668 3.581 -5.624
-4.397 -8.087 2.387
La Re O
4 6 20
Cartesian
-4.271 0.761 1.668
-5.497 -1.205 -1.208
-4.642 3.183 -1.163
-5.126 -3.627 1.623
-7.295 -1.338 2.581
-2.473 0.894 -2.121
-7.770 1.682 -0.955
-1.998 -2.126 1.415
-1.216 2.899 2.639
-0.487 1.163 1.058
-7.976 -0.277 -1.257
-7.171 -2.196 -3.004
-1.792 -0.167 1.717
-2.597 1.752 3.464
-6.013 -1.351 1.058
-5.120 -3.480 -0.880
-3.755 0.907 -0.598
-4.648 3.036 1.340
-8.855 -0.866 1.344
-0.913 0.422 -0.884
-5.737 -1.663 3.656
-4.031 1.219 -3.196
-6.235 1.383 0.081
-3.533 -1.827 0.379
-7.902 -3.004 -0.340
-1.867 2.560 0.800
-3.077 4.755 -0.114
-2.294 2.888 -1.813
-3.050 -2.013 3.042
-2.199 -4.044 1.194
```

***

# 3
Below is LaReO6 after structural relaxation, with properties calculated at the PBE level.

Geometry as POSCAR:
```
LaReO6
1.0
-1.321 3.712 -4.615
0.510 -1.967 -5.718
-4.979 -0.957 -3.335
La Re O
1 1 6
Cartesian
-2.895 0.394 -6.834
0.000 0.000 0.000
-1.722 1.154 -8.802
-2.009 2.261 -5.585
-3.780 -1.473 -8.082
-4.067 -0.366 -4.865
-0.979 -0.935 -6.206
-4.810 1.722 -7.461
```

***

# 4
Below is La12Re3O5 after structural relaxation, with properties calculated at the PBE level.

Geometry as POSCAR:
```
La12Re3O5
1.0
13.846 0.000 0.000
-4.615 13.054 0.000
-4.615 -6.527 11.305
Re O La
12 20 48
Cartesian
8.077 4.079 1.413
8.077 8.975 1.413
-1.154 5.711 7.066
1.154 -0.816 4.239
10.385 0.000 2.826
1.154 6.527 2.826
3.462 0.000 8.479
-5.769 6.527 8.479
3.462 7.343 7.066
5.769 0.816 4.239
-3.462 -2.448 9.892
-3.462 2.448 9.892
-1.154 3.264 2.826
-2.308 6.527 0.000
0.000 0.000 0.000
3.462 2.448 1.413
4.615 -3.264 5.653
4.615 6.527 0.000
-3.462 7.343 4.239
5.769 -4.079 9.892
5.769 5.711 4.239
1.154 -3.264 8.479
3.462 9.791 2.826
2.308 3.264 5.653
6.923 0.000 0.000
-2.308 -3.264 5.653
-1.154 0.816 7.066
-1.154 10.607 1.413
-4.615 3.264 5.653
8.077 -0.816 7.066
1.154 4.079 9.892
5.769 3.264 8.479
9.121 1.423 0.302
0.110 4.237 4.572
10.387 3.027 3.296
5.767 1.922 1.383
1.699 4.798 7.707
9.888 6.589 2.054
-1.156 7.632 4.680
-3.459 11.132 1.383
0.609 8.256 7.707
6.265 6.465 2.054
7.033 3.713 4.269
7.033 11.632 0.302
-4.007 5.810 5.955
2.965 4.717 0.973
-4.725 9.341 4.269
2.418 -2.290 6.734
-0.609 1.011 2.356
2.965 8.275 1.081
5.767 10.027 3.296
-0.658 4.780 1.081
-2.916 7.538 8.949
3.464 5.423 4.680
6.314 7.245 5.955
5.273 -1.810 10.332
1.151 1.105 6.626
-1.699 -0.717 5.350
-0.658 8.337 0.973
-1.151 -3.500 8.009
7.532 -1.011 2.356
5.273 1.748 10.224
1.650 -1.748 10.224
2.198 8.818 4.572
5.224 5.516 8.949
9.341 -2.814 7.036
8.622 0.717 5.350
-2.418 -5.105 11.003
1.650 1.810 10.332
4.007 -1.729 3.599
-1.650 0.062 9.251
-2.418 2.814 7.036
8.074 -4.605 9.922
5.772 -1.105 6.626
-1.151 4.605 9.922
-5.273 -0.062 9.251
2.916 1.729 3.599
-5.772 3.500 8.009
4.505 2.290 6.734
-4.505 5.105 11.003
```

***

# 5
Below is LaReO5 after structural relaxation, with properties calculated at the PBE level.

Geometry as POSCAR:
```
LaReO5
1.0
-0.618 2.985 4.826
-4.861 2.978 -0.295
-5.352 -3.314 4.438
La Re O
2 2 10
Cartesian
-3.853 2.153 3.645
-6.978 0.496 5.323
0.000 0.000 0.000
-2.676 -1.657 2.219
-4.826 4.302 4.104
-6.117 1.380 3.174
-7.612 2.645 6.190
-2.212 2.156 5.627
-3.896 2.923 1.333
-6.935 -0.274 7.636
-8.619 0.493 3.341
-3.218 0.004 2.779
-4.714 1.270 5.794
-6.005 -1.653 4.864
```

***

# 6
Below is LaReO4 after structural relaxation, with properties calculated at the PBE level.

Geometry as POSCAR:
```
LaReO4
1.0
-6.023 -0.329 2.072
3.075 -5.587 0.121
3.131 3.977 3.881
La Re O
2 2 8
Cartesian
0.000 0.000 0.000
-2.184 0.345 3.525
2.366 -2.284 2.549
-1.474 -2.958 1.096
2.334 -4.025 1.898
1.307 -2.729 4.011
-0.917 -4.337 2.212
-1.443 -1.217 1.748
0.010 0.212 4.672
1.809 -0.905 1.434
2.715 1.465 3.515
4.012 -1.476 2.855
```

***

# 7
Below is LaReO3 after structural relaxation, with properties calculated at the PBE level.

Geometry as POSCAR:
```
LaReO3
1.0
3.985 0.000 0.000
0.000 3.985 0.000
0.000 0.000 3.985
Re O La
1 3 1
Cartesian
0.000 0.000 0.000
0.000 1.993 0.000
0.000 0.000 1.993
1.993 0.000 0.000
1.993 1.993 1.993
```

***

# 8
LaRe3O (PBE, relaxed); offset from the most stable computed form = 0 meV/atom
1.0
4.326 0.000 0.000
0.000 4.326 0.000
0.000 0.000 4.326
Re O La
3 1 1
Cartesian
0.000 2.163 0.000
0.000 0.000 2.163
2.163 0.000 0.000
0.000 0.000 0.000
2.163 2.163 2.163

***

# 9
Below is La6ReO12 after structural relaxation, with properties calculated at the PBE level.

Geometry as POSCAR:
```
La6ReO12
1.0
6.834 0.020 0.025
-1.016 6.758 0.025
-1.016 -1.183 6.653
La Re O
6 1 12
Cartesian
3.484 5.340 2.654
3.693 1.900 0.974
0.052 3.744 2.044
1.318 0.255 4.049
1.109 3.695 5.728
4.750 1.851 4.659
0.000 0.000 0.000
4.646 3.315 2.729
1.364 4.909 3.749
2.572 1.774 5.500
0.156 2.280 3.974
3.438 0.685 2.954
2.230 3.820 1.202
-0.815 6.211 1.907
-1.461 3.742 6.228
3.921 6.284 0.251
5.617 -0.616 4.795
6.263 1.852 0.474
0.881 -0.690 6.452
```

***

# 10
Below is La2ReRuO after structural relaxation, with properties calculated at the PBE level.

Geometry as POSCAR:
```
La2ReRuO
1.0
-3.874 -2.663 -2.945
-1.347 -2.989 4.475
-3.059 3.146 1.180
Re Ru O La
1 1 1 2
Cartesian
-1.530 1.573 0.590
0.000 0.000 0.000
-4.140 -1.253 1.355
-0.674 -1.495 2.237
-1.937 -1.331 -1.473
```

***

# 11
Below is LaScReO6 after structural relaxation, with properties calculated at the PBE level.

Geometry as POSCAR:
```
LaScReO6
1.0
-0.660 1.337 5.127
-2.211 -3.471 3.401
4.677 -1.903 1.098
La Sc Re O
1 1 1 6
Cartesian
4.677 -1.903 1.098
0.425 -2.375 6.233
1.382 -1.663 3.391
0.556 -1.737 1.635
3.043 -0.968 2.664
2.139 -1.740 5.179
1.931 -3.490 3.028
-0.264 -2.247 4.243
0.884 0.203 3.600
```

***

# 12
Below is LaReSnO2 after structural relaxation, with properties calculated at the PBE level.

Geometry as POSCAR:
```
LaReSnO2
1.0
-3.749 -0.249 1.352
-1.750 -5.300 -5.831
1.068 -3.001 2.407
Re Sn O La
1 1 2 1
Cartesian
-2.216 -4.275 -1.036
0.000 0.000 0.000
0.534 -1.500 1.204
-1.874 -0.125 0.676
-0.875 -2.650 -2.915
```

***

# 13
Below is SrLaReO6 after structural relaxation, with properties calculated at the PBE level.

Geometry as POSCAR:
```
SrLaReO6
1.0
-4.208 3.697 1.270
-3.434 1.979 -4.154
-3.103 -3.791 0.757
Sr La Re O
1 1 1 6
Cartesian
-6.643 1.892 -1.544
-6.535 -1.809 -3.397
-4.099 -0.004 -0.583
-2.244 -0.177 -1.000
-3.800 -1.430 0.652
-5.903 0.164 0.021
-4.644 -1.255 -1.920
-4.301 1.316 -1.948
-3.703 1.356 0.698
```

***

# 14
Below is SrLa2ReO8 after structural relaxation, with properties calculated at the PBE level.

Geometry as POSCAR:
```
SrLa2ReO8
1.0
-1.570 -0.614 5.019
-4.266 -1.234 -1.386
0.231 -7.140 -0.817
Sr La Re O
1 2 1 8
Cartesian
0.116 -3.570 -0.409
-2.276 -6.384 1.339
-3.328 -2.604 1.476
0.000 0.000 0.000
-2.874 -2.559 -1.138
-4.477 -7.886 1.756
-2.093 -1.535 3.475
-2.731 -6.429 3.954
-1.127 -1.102 1.060
-3.511 -7.453 -0.659
-3.942 -4.802 1.043
-1.662 -4.186 1.773
```

***

# 15
Below is LaReTc2O8 after structural relaxation, with properties calculated at the PBE level.

Geometry as POSCAR:
```
LaReTc2O8
1.0
-2.553 -3.776 -1.799
3.465 -3.182 1.376
-2.854 -0.711 5.544
La Re Tc O
1 1 2 8
Cartesian
-1.427 -0.356 2.772
0.000 0.000 0.000
-0.200 -3.643 1.063
-1.742 -4.027 4.058
-3.528 -4.211 3.295
0.651 -4.985 -0.304
-0.101 -3.879 5.102
1.586 -3.459 1.825
0.261 -1.974 -0.119
-1.841 -3.791 0.018
-1.118 -2.691 2.632
-0.824 -4.979 2.489
```

***

# 16
Below is LaRe2TeO after structural relaxation, with properties calculated at the PBE level.

Geometry as POSCAR:
```
LaRe2TeO
1.0
-1.354 3.256 3.582
-4.655 -3.640 1.550
2.960 -2.386 3.288
Re Te O La
2 1 1 1
Cartesian
1.480 -1.193 1.644
-0.677 1.628 1.791
-2.328 -1.820 0.775
-1.525 -1.385 4.210
0.000 0.000 0.000
```

***

# 17
Below is LaTl2Re3O12 after structural relaxation, with properties calculated at the PBE level.

Geometry as POSCAR:
```
LaTl2Re3O12
1.0
-0.981 6.978 0.923
-0.610 2.219 6.724
5.523 3.624 2.619
La Tl Re O
1 2 3 12
Cartesian
0.000 0.000 0.000
2.430 7.922 6.344
1.502 4.898 3.922
-0.491 3.489 0.462
-0.305 1.109 3.362
2.762 1.812 1.310
4.615 5.882 4.530
0.871 9.589 7.811
3.923 8.015 8.607
0.471 8.019 3.449
3.749 10.249 5.885
0.707 4.987 7.145
-0.683 6.938 5.736
3.061 3.231 2.455
0.009 4.805 1.659
3.462 4.801 6.817
0.183 2.572 4.381
3.225 7.833 3.121
```

***

| no. | M_tot (μB per formula unit) | raw formation energy (eV/atom) | uncorrected energy (eV per cell) |
| --- | --- | --- | --- |
| 1 | 0.00 | -2.646 | -242.7 |
| 2 | 0.00 | -2.140 | -257.8 |
| 3 | 2.00 | -1.697 | -60.7 |
| 4 | 0.00 | -1.255 | -585.5 |
| 5 | 0.00 | -2.260 | -116.0 |
| 6 | 2.01 | -2.227 | -101.1 |
| 7 | 0.00 | -1.949 | -42.0 |
| 8 | 0.00 | 0.634 | -44.1 |
| 9 | 1.01 | -3.106 | -160.5 |
| 10 | 1.28 | 0.426 | -34.4 |
| 11 | 1.02 | -2.647 | -77.3 |
| 12 | 2.04 | 0.420 | -29.2 |
| 13 | 0.00 | -2.417 | -70.6 |
| 14 | 0.21 | -2.472 | -93.3 |
| 15 | 0.67 | -1.773 | -99.1 |
| 16 | 4.01 | 2.845 | -23.7 |
| 17 | 0.86 | -1.682 | -136.8 |